1.
PaClF3 after structural relaxation. Source: Alexandria, functional PBE.

Geometry as CIF:
```
data_PaClF3
_cell_length_a 7.3182
_cell_length_b 7.3182
_cell_length_c 5.6713
_cell_angle_alpha 90.00
_cell_angle_beta 90.00
_cell_angle_gamma 120.00
_symmetry_space_group_name_H-M 'R -3 m'
_symmetry_Int_Tables_number 166
_symmetry_space_group_name_Hall '-R 3 2"'
loop_
_atom_site_label
_atom_site_fract_x
_atom_site_fract_y
_atom_site_fract_z
Pa1 0.0000 0.0000 0.0000
Cl1 0.0000 0.0000 0.5000
F1 0.0000 0.5000 0.5000
```

## Properties
The value obtained for the energy relative to the elements, uncorrected is -3.215 eV/atom. For the density of states at the Fermi level, the calculation gives 18.9 states/eV/cell. The crystal system is trigonal. For the energy relative to the lowest polymorph listed for this composition, the calculation gives 0.14 eV per formula unit.

2.
Tm6Fe2Ge after structural relaxation. Source: Alexandria, functional PBE.

Geometry as CIF:
```
data_Tm6Fe2Ge
_cell_length_a 9.259
_cell_length_b 9.305
_cell_length_c 9.726
_cell_angle_alpha 90.00
_cell_angle_beta 90.00
_cell_angle_gamma 90.00
_symmetry_space_group_name_H-M 'I m m m'
_symmetry_Int_Tables_number 71
_symmetry_space_group_name_Hall '-I 2 2'
loop_
_atom_site_label
_atom_site_fract_x
_atom_site_fract_y
_atom_site_fract_z
Tm1 0.000 0.207 0.233
Tm2 0.201 0.500 0.182
Tm3 0.219 0.316 0.500
Fe1 0.000 0.381 0.000
Fe2 0.000 0.500 0.389
Ge1 0.000 0.000 0.000
Ge2 0.000 0.000 0.500
```

## Properties
Its formation enthalpy at 0 K is -0.250 eV/atom. For the density of states at the Fermi level, the calculation gives 36.5 states/eV/cell. The crystal system is orthorhombic.

3.
BaHg2P after structural relaxation. Source: Alexandria, functional PBE.

Geometry as CIF:
```
data_BaHg2P
_cell_length_a 8.631
_cell_length_b 8.631
_cell_length_c 6.435
_cell_angle_alpha 90.00
_cell_angle_beta 90.00
_cell_angle_gamma 90.00
_symmetry_space_group_name_H-M 'I -4 2 d'
_symmetry_Int_Tables_number 122
_symmetry_space_group_name_Hall 'I -4 2bw'
loop_
_atom_site_label
_atom_site_fract_x
_atom_site_fract_y
_atom_site_fract_z
Ba1 0.000 0.000 0.000
Hg1 0.178 0.750 0.625
P1 0.000 0.000 0.500
```

## Properties
Its formation enthalpy at 0 K is -0.276 eV/atom. For the density of states at the Fermi level, the calculation gives 14.2 states/eV/cell. The crystal system is tetragonal.